Density functional theory data (PBEsol) for a relaxed structure of Ir2OsPt.

Cell lengths 3.8315, 3.8315, 7.7460 Å; angles 90.00, 90.00, 90.00 degrees
Space group I-4m2 (No. 119)
Unique sites:
Ir1 0.0000 0.0000 0.0000
Ir2 0.0000 0.5000 0.2500
Os1 0.0000 0.0000 0.5000
Pt1 0.0000 0.5000 0.7500

## Properties
Density of states at the Fermi level (states/eV/f.u.): 4.0
Formation enthalpy at 0 K (meV per atom): 102
Calculated total energy (eV per atom): -9.60



Density functional theory data (PBEsol) for a relaxed structure of Ir2OsPt.

Cell lengths 2.6621, 4.6699, 9.4348 Å; angles 90.00, 90.00, 90.00 degrees
Space group Cmm2 (No. 35)
Unique sites:
Ir1 0.0000 0.0000 0.0000
Ir2 0.0000 0.5000 0.2472
Os1 0.0000 0.0000 0.4911
Pt1 0.0000 0.5000 0.7450

## Properties
Density of states at the Fermi level (states/eV/f.u.): 5.2
Formation enthalpy at 0 K (meV per atom): 398
Calculated total energy (eV per atom): -9.31



Density functional theory data (PBEsol) for a relaxed structure of IrOsPt2.

Cell lengths 2.7329, 3.8552, 5.4849 Å; angles 90.00, 90.00, 90.00 degrees
Space group Pmm2 (No. 25)
Unique sites:
Ir1 0.0000 0.0000 0.0000
Os1 0.5000 0.5000 0.2272
Pt1 0.0000 0.0000 0.4817
Pt2 0.5000 0.5000 0.7386

## Properties
Density of states at the Fermi level (states/eV/f.u.): 3.5
Formation enthalpy at 0 K (meV per atom): 42
Calculated total energy (eV per atom): -8.95



Density functional theory data (PBEsol) for a relaxed structure of Ir2OsPt.

Cell lengths 2.7149, 3.8520, 5.4422 Å; angles 90.00, 90.00, 90.00 degrees
Space group Pmm2 (No. 25)
Unique sites:
Ir1 0.0000 0.0000 0.0000
Ir2 0.5000 0.5000 0.2534
Os1 0.0000 0.0000 0.4900
Pt1 0.5000 0.5000 0.7446

## Properties
Density of states at the Fermi level (states/eV/f.u.): 3.8
Formation enthalpy at 0 K (meV per atom): 81
Calculated total energy (eV per atom): -9.63



Density functional theory data (PBEsol) for a relaxed structure of IrOsPt2.

Cell lengths 2.7249, 2.7249, 7.8246 Å; angles 90.00, 90.00, 90.00 degrees
Space group P4mm (No. 99)
Unique sites:
Ir1 0.0000 0.0000 0.0000
Os1 0.5000 0.5000 0.2291
Pt1 0.0000 0.0000 0.4778
Pt2 0.5000 0.5000 0.7427

## Properties
Density of states at the Fermi level (states/eV/f.u.): 3.0
Formation enthalpy at 0 K (meV per atom): -5
Calculated total energy (eV per atom): -9.00



Density functional theory data (PBEsol) for a relaxed structure of IrOsPt2.

Cell lengths 9.0677, 2.7289, 4.7399 Å; angles 90.00, 99.74, 90.00 degrees
Space group Cm (No. 8)
Unique sites:
Ir1 0.0000 0.0000 0.0000
Os1 0.2575 0.0000 0.7750
Pt1 0.0074 0.5000 0.5155
Pt2 0.2529 0.5000 0.2645

## Properties
Density of states at the Fermi level (states/eV/f.u.): 3.4
Formation enthalpy at 0 K (meV per atom): 71
Calculated total energy (eV per atom): -8.92



Density functional theory data (PBEsol) for a relaxed structure of Ir2OsPt.

Cell lengths 2.7186, 2.7186, 26.7281 Å; angles 90.00, 90.00, 120.00 degrees
Space group R-3m (No. 166, hexagonal axes)
Unique sites:
Ir1 0.0000 0.0000 0.2472
Os1 0.0000 0.0000 0.5000
Pt1 0.0000 0.0000 0.0000

## Properties
Density of states at the Fermi level (states/eV/f.u.): 3.3
Formation enthalpy at 0 K (meV per atom): 11
Calculated total energy (eV per atom): -9.70



Density functional theory data (PBEsol) for a relaxed structure of Ir2OsPt.

Cell lengths 2.7191, 2.7191, 26.7207 Å; angles 90.00, 90.00, 120.00 degrees
Space group R3m (No. 160, hexagonal axes)
Unique sites:
Ir1 0.0000 0.0000 0.0000
Ir2 0.0000 0.0000 0.2502
Os1 0.0000 0.0000 0.5032
Pt1 0.0000 0.0000 0.7523

## Properties
Density of states at the Fermi level (states/eV/f.u.): 4.0
Formation enthalpy at 0 K (meV per atom): 59
Calculated total energy (eV per atom): -9.65